Entry 1:
Computed, not measured: La2BeNi after structural relaxation at the PBE-GGA level of DFT.

It has space group R-3m (No. 166, hexagonal axes), with a = 3.9389 Å, b = 3.9389 Å, c = 23.0910 Å, α = 90.00°, β = 90.00° and γ = 120.00°. Symmetry generates all atoms from La at (0.0000, 0.0000, 0.2430), Be at (0.0000, 0.0000, 0.0000) and Ni at (0.0000, 0.0000, 0.5000).

For the formation energy, the calculation gives 0.17 eV per atom. The calculation puts the density of states at the Fermi level at 9.733 states/eV/cell.


Entry 2:
Computed, not measured: Pm2MgCd after structural relaxation at the PBE-GGA level of DFT.

It has space group P4/mmm (No. 123), with a = 5.4096 Å, b = 5.4096 Å, c = 3.8753 Å, α = 90.00°, β = 90.00° and γ = 90.00°. Symmetry generates all atoms from Pm at (0.0000, 0.5000, 0.0000), Mg at (0.0000, 0.0000, 0.5000) and Cd at (0.5000, 0.5000, 0.5000).

The value obtained for the polymorph energy (0 for the lowest one) is 0.0 meV/atom. For the formation energy, the calculation gives -0.22 eV per atom. The calculation puts the density of states at the Fermi level at 4.360 states/eV/cell.